#A
{
  "formula": "SiTePt2",
  "functional": "PBE",
  "state": "optimized geometry",
  "lattice_angstrom": [[5.262, 0.000, 0.000], [0.000, 5.262, 0.000], [0.000, 0.000, 5.598]],
  "species": ["Si", "Si", "Te", "Te", "Pt", "Pt", "Pt", "Pt"],
  "fractional_positions": [[0.000, 0.000, 0.000], [0.500, 0.500, 0.500], [0.000, 0.000, 0.500], [0.500, 0.500, 0.000], [0.000, 0.500, 0.000], [0.000, 0.500, 0.500], [0.500, 0.000, 0.000], [0.500, 0.000, 0.500]],
  "sg": "I4/mmm (139)"
}

=====

#B
{
  "formula": "SiTePt2",
  "functional": "PBE",
  "state": "optimized geometry",
  "lattice_angstrom": [[6.584, 0.000, 0.000], [0.000, 6.584, 0.000], [0.000, 0.000, 6.584]],
  "species": ["Si", "Si", "Si", "Si", "Te", "Te", "Te", "Te", "Pt", "Pt", "Pt", "Pt", "Pt", "Pt", "Pt", "Pt"],
  "fractional_positions": [[0.000, 0.000, 0.000], [0.000, 0.500, 0.500], [0.500, 0.000, 0.500], [0.500, 0.500, 0.000], [0.000, 0.000, 0.500], [0.000, 0.500, 0.000], [0.500, 0.000, 0.000], [0.500, 0.500, 0.500], [0.250, 0.250, 0.250], [0.250, 0.250, 0.750], [0.250, 0.750, 0.250], [0.250, 0.750, 0.750], [0.750, 0.250, 0.250], [0.750, 0.250, 0.750], [0.750, 0.750, 0.250], [0.750, 0.750, 0.750]],
  "sg": "Fm-3m (225)"
}

=====

Relative energies with respect to the most stable structure, expressed in meV per atom: #A 0; #B 118.